First-principles (PBE) data for a geometry-optimized TbPm2Pr6Ho3 structure, as listed in Alexandria via LeMat-Bulk.

Computed properties:
Space group = No. 12
Energy of formation from the pure elements = 1 kJ per mole of atoms

Cell: 6.332 6.332 11.969 Å, 95.04 95.04 120.01°
Positions (direct):
Tb: 0.000 0.000 0.000
Pm: 0.333 0.667 0.000
Pm: 0.667 0.333 0.000
Pr: 0.084 0.417 0.253
Pr: 0.249 0.249 0.747
Pr: 0.417 0.084 0.253
Pr: 0.583 0.916 0.747
Pr: 0.751 0.751 0.253
Pr: 0.916 0.583 0.747
Ho: 0.167 0.833 0.500
Ho: 0.500 0.500 0.500
Ho: 0.833 0.167 0.500

First-principles (PBE) data for a geometry-optimized NbRh2PbAu structure, as listed in Alexandria via LeMat-Bulk.

Computed properties:
Space group = No. 123
Energy of formation from the pure elements = 161 kJ per mole of atoms

Cell: 4.916 4.916 5.257 Å, 90.00 90.00 90.00°
Positions (direct):
Nb: 0.000 0.000 0.000
Rh: 0.000 0.500 0.500
Rh: 0.500 0.000 0.500
Pb: 0.000 0.000 0.500
Au: 0.500 0.500 0.000

First-principles (PBE) data for a geometry-optimized TbPmPuN3 structure, as listed in Alexandria via LeMat-Bulk.

Computed properties:
Space group = No. 11
Raw formation energy = -22.90 kcal/mol of atoms

Cell: 7.162 3.641 8.426 Å, 90.00 97.48 90.00°
Positions (direct):
Tb: 0.129 0.250 0.154
Tb: 0.871 0.750 0.846
Pm: 0.338 0.750 0.861
Pm: 0.662 0.250 0.139
Pu: 0.444 0.750 0.420
Pu: 0.556 0.250 0.580
N: 0.107 0.250 0.876
N: 0.276 0.250 0.424
N: 0.399 0.750 0.153
N: 0.601 0.250 0.847
N: 0.724 0.750 0.576
N: 0.893 0.750 0.124

First-principles (PBE) data for a geometry-optimized PuPaZn2O8 structure, as listed in Alexandria via LeMat-Bulk.

Computed properties:
Space group = No. 12
Raw formation energy = -53.06 kcal/mol of atoms

Cell: 4.727 4.727 7.111 Å, 90.05 90.05 87.27°
Positions (direct):
Pu: 0.000 0.000 0.000
Pa: 0.000 0.000 0.500
Zn: 0.499 0.499 0.275
Zn: 0.501 0.501 0.725
O: 0.199 0.801 0.236
O: 0.199 0.801 0.764
O: 0.273 0.273 0.000
O: 0.300 0.300 0.500
O: 0.700 0.700 0.500
O: 0.727 0.727 0.000
O: 0.801 0.199 0.236
O: 0.801 0.199 0.764

First-principles (PBE) data for a geometry-optimized CsGe3Ru structure, as listed in Alexandria via LeMat-Bulk.

Computed properties:
Space group = No. 221
Excess energy over the best structure of this formula in the dataset = 2396.3 meV per atom
Energy of formation from the pure elements = 262 kJ per mole of atoms

Cell: 5.688 5.688 5.688 Å, 90.00 90.00 90.00°
Positions (direct):
Cs: 0.000 0.000 0.000
Ge: 0.000 0.000 0.500
Ge: 0.000 0.500 0.000
Ge: 0.500 0.000 0.000
Ru: 0.500 0.500 0.500

First-principles (PBE) data for a geometry-optimized Sc4PbAu3 structure, as listed in Alexandria via LeMat-Bulk.

Computed properties:
Space group = No. 166
Energy of formation from the pure elements = -65 kJ per mole of atoms

Cell: 8.590 8.590 8.590 Å, 32.99 32.99 32.99°
Positions (direct):
Sc: 0.120 0.120 0.120
Sc: 0.371 0.371 0.371
Sc: 0.629 0.629 0.629
Sc: 0.880 0.880 0.880
Pb: 0.500 0.500 0.500
Au: 0.000 0.000 0.000
Au: 0.254 0.254 0.254
Au: 0.746 0.746 0.746

First-principles (PBE) data for a geometry-optimized Ba2HRhAu structure, as listed in Alexandria via LeMat-Bulk.

Computed properties:
Space group = No. 123
Excess energy over the best structure of this formula in the dataset = 736.3 meV per atom

Cell: 6.227 6.227 4.904 Å, 90.00 90.00 90.00°
Positions (direct):
Ba: 0.000 0.500 0.000
Ba: 0.500 0.000 0.000
H: 0.000 0.000 0.500
Rh: 0.500 0.500 0.500
Au: 0.500 0.500 0.000

First-principles (PBE) data for a geometry-optimized LaFe2H6 structure, as listed in Alexandria via LeMat-Bulk.

Computed properties:
Space group = No. 191
DFT total energy = -4.986 eV/atom

Cell: 4.454 4.454 4.515 Å, 90.00 90.00 120.00°
Positions (direct):
La: 0.000 0.000 0.000
Fe: 0.333 0.667 0.500
Fe: 0.667 0.333 0.500
H: 0.000 0.500 0.256
H: 0.000 0.500 0.744
H: 0.500 0.000 0.256
H: 0.500 0.000 0.744
H: 0.500 0.500 0.256
H: 0.500 0.500 0.744

First-principles (PBE) data for a geometry-optimized CsNa2Sn structure, as listed in Alexandria via LeMat-Bulk.

Computed properties:
Space group = No. 14
Energy of formation from the pure elements = -8 kJ per mole of atoms

Cell: 9.565 7.325 11.401 Å, 90.00 124.30 90.00°
Positions (direct):
Cs: 0.119 0.087 0.385
Cs: 0.119 0.413 0.885
Cs: 0.881 0.587 0.115
Cs: 0.881 0.913 0.615
Na: 0.339 0.653 0.372
Na: 0.339 0.847 0.872
Na: 0.460 0.201 0.282
Na: 0.460 0.299 0.782
Na: 0.540 0.701 0.218
Na: 0.540 0.799 0.718
Na: 0.661 0.153 0.128
Na: 0.661 0.347 0.628
Sn: 0.179 0.583 0.568
Sn: 0.179 0.917 0.068
Sn: 0.821 0.083 0.932
Sn: 0.821 0.417 0.432

First-principles (PBE) data for a geometry-optimized NaAs3Au structure, as listed in Alexandria via LeMat-Bulk.

Computed properties:
Space group = No. 221
Excess energy over the best structure of this formula in the dataset = 666.3 meV per atom
Energy of formation from the pure elements = 112 kJ per mole of atoms

Cell: 4.959 4.959 4.959 Å, 90.00 90.00 90.00°
Positions (direct):
Na: 0.000 0.000 0.000
As: 0.000 0.000 0.500
As: 0.000 0.500 0.000
As: 0.500 0.000 0.000
Au: 0.500 0.500 0.500

First-principles (PBE) data for a geometry-optimized NaRhI2 structure, as listed in Alexandria via LeMat-Bulk.

Computed properties:
Space group = No. 122
Excess energy over the best structure of this formula in the dataset = 0.0 meV per atom
Raw formation energy = -6.02 kcal/mol of atoms

Cell: 8.233 8.233 8.233 Å, 133.53 133.53 67.83°
Positions (direct):
Na: 0.000 0.000 0.000
Na: 0.750 0.250 0.500
Rh: 0.250 0.750 0.500
Rh: 0.500 0.500 0.000
I: 0.190 0.625 0.065
I: 0.375 0.440 0.565
I: 0.560 0.125 0.935
I: 0.875 0.810 0.435

First-principles (PBE) data for a geometry-optimized TbPu2ScS4 structure, as listed in Alexandria via LeMat-Bulk.

Computed properties:
Space group = No. 10
Raw formation energy = -42.93 kcal/mol of atoms

Cell: 6.705 3.870 6.770 Å, 90.00 109.24 90.00°
Positions (direct):
Tb: 0.000 0.000 0.000
Pu: 0.000 0.500 0.500
Pu: 0.500 0.000 0.500
Sc: 0.500 0.500 0.000
S: 0.256 0.500 0.243
S: 0.262 0.000 0.763
S: 0.738 0.000 0.237
S: 0.744 0.500 0.757